Entry 1:
A relaxed structure of Ho2NbZn. Source: the Alexandria database, functional PBE.

Results
N(E_F) = 5.96 states/eV/cell
crystal system = trigonal
E_tot = -0.34248 Ry/atom
energy above the most stable polymorph in this dataset = 445 meV/atom
volume = 95.05 Å³/cell

abc: 11.024 11.024 11.024
angles: 16.57 16.57 16.57
Sites, in units of the cell vectors:
Ho 0.092 0.092 0.092
Ho 0.908 0.908 0.908
Nb 0.000 0.000 0.000
Zn 0.500 0.500 0.500

Entry 2:
A relaxed structure of HoNbZn2. Source: the Alexandria database, functional PBE.

Results
N(E_F) = 3.60 states/eV/cell
crystal system = tetragonal
E_tot = -0.32130 Ry/atom
volume = 75.65 Å³/cell

abc: 3.356 3.356 6.716
angles: 90.00 90.00 90.00
Sites, in units of the cell vectors:
Ho 0.000 0.000 0.000
Nb 0.000 0.000 0.500
Zn 0.500 0.500 0.278
Zn 0.500 0.500 0.722

Entry 3:
A relaxed structure of HoZrNb. Source: the Alexandria database, functional PBE.

Results
N(E_F) = 8.02 states/eV/cell
crystal system = trigonal
E_tot = -0.55256 Ry/atom
energy above the most stable polymorph in this dataset = 60 meV/atom
volume = 143.89 Å³/cell

abc: 15.201 15.201 15.201
angles: 12.54 12.54 12.54
Sites, in units of the cell vectors:
Ho 0.133 0.133 0.133
Ho 0.867 0.867 0.867
Zr 0.406 0.406 0.406
Zr 0.594 0.594 0.594
Nb 0.312 0.312 0.312
Nb 0.688 0.688 0.688

Entry 4:
A relaxed structure of Ho3Zr12Nb5. Source: the Alexandria database, functional PBE.

Results
N(E_F) = 91.98 states/eV/cell
crystal system = cubic
E_tot = -0.51894 Ry/atom
volume = 2463.39 Å³/cell

abc: 14.736 14.736 14.736
angles: 109.47 109.47 109.47
Sites, in units of the cell vectors:
Ho 0.125 0.250 0.375
Ho 0.125 0.375 0.750
Ho 0.250 0.375 0.125
Ho 0.250 0.875 0.625
Ho 0.375 0.125 0.250
Ho 0.375 0.750 0.125
Ho 0.625 0.250 0.875
Ho 0.625 0.875 0.750
Ho 0.750 0.125 0.375
Ho 0.750 0.625 0.875
Ho 0.875 0.625 0.250
Ho 0.875 0.750 0.625
Zr 0.013 0.692 0.062
Zr 0.013 0.821 0.951
Zr 0.049 0.562 0.870
Zr 0.049 0.987 0.179
Zr 0.062 0.013 0.692
Zr 0.062 0.549 0.370
Zr 0.130 0.679 0.692
Zr 0.130 0.951 0.438
Zr 0.179 0.049 0.987
Zr 0.179 0.630 0.192
Zr 0.192 0.179 0.630
Zr 0.192 0.513 0.562
Zr 0.308 0.870 0.321
Zr 0.308 0.938 0.987
Zr 0.321 0.308 0.870
Zr 0.321 0.513 0.451
Zr 0.370 0.062 0.549
Zr 0.370 0.808 0.821
Zr 0.438 0.130 0.951
Zr 0.438 0.808 0.487
Zr 0.451 0.321 0.513
Zr 0.451 0.630 0.938
Zr 0.487 0.438 0.808
Zr 0.487 0.549 0.679
Zr 0.513 0.451 0.321
Zr 0.513 0.562 0.192
Zr 0.549 0.370 0.062
Zr 0.549 0.679 0.487
Zr 0.562 0.192 0.513
Zr 0.562 0.870 0.049
Zr 0.630 0.192 0.179
Zr 0.630 0.938 0.451
Zr 0.679 0.487 0.549
Zr 0.679 0.692 0.130
Zr 0.692 0.062 0.013
Zr 0.692 0.130 0.679
Zr 0.808 0.487 0.438
Zr 0.808 0.821 0.370
Zr 0.821 0.370 0.808
Zr 0.821 0.951 0.013
Zr 0.870 0.049 0.562
Zr 0.870 0.321 0.308
Zr 0.938 0.451 0.630
Zr 0.938 0.987 0.308
Zr 0.951 0.013 0.821
Zr 0.951 0.438 0.130
Zr 0.987 0.179 0.049
Zr 0.987 0.308 0.938
Nb 0.000 0.000 0.000
Nb 0.000 0.000 0.500
Nb 0.000 0.500 0.000
Nb 0.000 0.500 0.500
Nb 0.125 0.750 0.875
Nb 0.125 0.875 0.250
Nb 0.250 0.125 0.875
Nb 0.250 0.625 0.375
Nb 0.375 0.250 0.625
Nb 0.375 0.625 0.750
Nb 0.500 0.000 0.000
Nb 0.500 0.000 0.500
Nb 0.500 0.500 0.000
Nb 0.500 0.500 0.500
Nb 0.625 0.375 0.250
Nb 0.625 0.750 0.375
Nb 0.750 0.375 0.625
Nb 0.750 0.875 0.125
Nb 0.875 0.125 0.750
Nb 0.875 0.250 0.125

Entry 5:
A relaxed structure of Ho2ZrNb. Source: the Alexandria database, functional PBE.

Results
N(E_F) = 5.44 states/eV/cell
crystal system = trigonal
E_tot = -0.47403 Ry/atom
volume = 100.49 Å³/cell

abc: 11.343 11.343 11.343
angles: 16.32 16.32 16.32
Sites, in units of the cell vectors:
Ho 0.087 0.087 0.087
Ho 0.913 0.913 0.913
Zr 0.500 0.500 0.500
Nb 0.000 0.000 0.000

Entry 6:
A relaxed structure of HoZrNb. Source: the Alexandria database, functional PBE.

Results
N(E_F) = 3.09 states/eV/cell
crystal system = tetragonal
E_tot = -0.55700 Ry/atom
energy above the most stable polymorph in this dataset = 0 meV/atom
volume = 71.99 Å³/cell

abc: 5.935 5.935 5.935
angles: 143.95 143.95 51.90
Sites, in units of the cell vectors:
Ho 0.000 0.000 0.000
Zr 0.298 0.298 0.000
Nb 0.690 0.690 0.000

Entry 7:
A relaxed structure of Nd7Ho. Source: the Alexandria database, functional PBE.

Results
N(E_F) = 9.89 states/eV/cell
crystal system = cubic
E_tot = -0.34808 Ry/atom
volume = 277.08 Å³/cell

abc: 7.318 7.318 7.318
angles: 60.00 60.00 60.00
Sites, in units of the cell vectors:
Nd 0.000 0.000 0.000
Nd 0.000 0.000 0.500
Nd 0.000 0.500 0.000
Nd 0.000 0.500 0.500
Nd 0.500 0.000 0.000
Nd 0.500 0.000 0.500
Nd 0.500 0.500 0.000
Ho 0.500 0.500 0.500

Entry 8:
A relaxed structure of NdHo5. Source: the Alexandria database, functional PBE.

Results
N(E_F) = 8.15 states/eV/cell
crystal system = orthorhombic
E_tot = -0.33723 Ry/atom
energy above the most stable polymorph in this dataset = 9 meV/atom
volume = 189.76 Å³/cell

abc: 7.936 7.936 5.023
angles: 90.00 90.00 143.14
Sites, in units of the cell vectors:
Nd 0.000 0.000 0.000
Ho 0.167 0.833 0.500
Ho 0.332 0.668 0.000
Ho 0.500 0.500 0.500
Ho 0.668 0.332 0.000
Ho 0.833 0.167 0.500